(1)
Computed, not measured: a relaxed Er5GaHg4 crystal at the PBE level of DFT.

Computed properties:
energy	-3.200	eV/atom
V	245.7	Å³/f.u.
formation enthalpy at 0 K	-0.50	eV per atom

abc: 3.663 3.663 18.313
angles: 90.00 90.00 90.00
Element x y z (fractional)
Er (0.500, 0.500, 0.093)
Er (0.500, 0.500, 0.296)
Er (0.500, 0.500, 0.500)
Er (0.500, 0.500, 0.704)
Er (0.500, 0.500, 0.907)
Ga (0.000, 0.000, 0.000)
Hg (0.000, 0.000, 0.195)
Hg (0.000, 0.000, 0.398)
Hg (0.000, 0.000, 0.602)
Hg (0.000, 0.000, 0.805)

***

(2)
Computed, not measured: a relaxed Er6GaHg2 crystal at the PBE level of DFT.

Computed properties:
energy	-3.419	eV/atom
V	294.5	Å³/f.u.
formation enthalpy at 0 K	0.03	eV per atom

abc: 7.242 7.242 11.229
angles: 90.00 90.00 90.00
Element x y z (fractional)
Er (0.282, 0.282, 0.342)
Er (0.718, 0.718, 0.342)
Er (0.218, 0.782, 0.842)
Er (0.782, 0.218, 0.842)
Er (0.218, 0.782, 0.158)
Er (0.782, 0.218, 0.158)
Er (0.282, 0.282, 0.658)
Er (0.718, 0.718, 0.658)
Er (0.276, 0.276, 0.000)
Er (0.724, 0.724, 0.000)
Er (0.224, 0.776, 0.500)
Er (0.776, 0.224, 0.500)
Ga (0.000, 0.000, 0.000)
Ga (0.500, 0.500, 0.500)
Hg (0.000, 0.000, 0.328)
Hg (0.500, 0.500, 0.828)
Hg (0.500, 0.500, 0.172)
Hg (0.000, 0.000, 0.672)

***

(3)
Computed, not measured: a relaxed Er3Ga2Hg4 crystal at the PBE level of DFT.

Computed properties:
energy	-2.764	eV/atom
V	205.1	Å³/f.u.
formation enthalpy at 0 K	-0.44	eV per atom

abc: 4.753 5.933 8.914
angles: 114.64 90.00 113.61
Element x y z (fractional)
Er (0.665, 0.329, 0.672)
Er (0.000, 0.000, 0.000)
Er (0.335, 0.671, 0.328)
Ga (0.604, 0.209, 0.274)
Ga (0.396, 0.791, 0.726)
Hg (0.695, 0.390, 0.036)
Hg (0.305, 0.610, 0.964)
Hg (0.913, 0.827, 0.586)
Hg (0.087, 0.173, 0.414)

***

(4)
Computed, not measured: a relaxed Er3GaHg3 crystal at the PBE level of DFT.

Computed properties:
energy	-2.951	eV/atom
V	170.2	Å³/f.u.
formation enthalpy at 0 K	-0.43	eV per atom

abc: 4.729 3.618 10.382
angles: 100.03 103.16 90.00
Element x y z (fractional)
Er (0.308, 0.808, 0.615)
Er (0.695, 0.195, 0.390)
Er (0.996, 0.996, 0.992)
Ga (0.432, 0.432, 0.864)
Hg (0.152, 0.652, 0.304)
Hg (0.852, 0.352, 0.705)
Hg (0.565, 0.565, 0.130)

***

(5)
Computed, not measured: a relaxed Er2GaHg3 crystal at the PBE level of DFT.

Computed properties:
energy	-2.446	eV/atom
energy above the most stable polymorph in this dataset	0.134	eV per atom
V	149.7	Å³/f.u.
formation enthalpy at 0 K	-0.27	eV per atom

abc: 3.653 4.426 9.693
angles: 103.20 100.86 90.00
Element x y z (fractional)
Er (0.108, 0.108, 0.216)
Er (0.892, 0.392, 0.784)
Ga (0.458, 0.958, 0.917)
Hg (0.694, 0.694, 0.388)
Hg (0.537, 0.537, 0.074)
Hg (0.311, 0.811, 0.622)

***

(6)
Computed, not measured: a relaxed ErGaHg2 crystal at the PBE level of DFT.

Computed properties:
energy	-1.924	eV/atom
V	105.2	Å³/f.u.
formation enthalpy at 0 K	0.12	eV per atom

abc: 3.361 3.361 10.925
angles: 81.15 81.15 60.00
Element x y z (fractional)
Hg (0.094, 0.094, 0.718)
Hg (0.906, 0.906, 0.282)
Ga (0.500, 0.500, 0.500)
Er (0.000, 0.000, 0.000)

***

(7)
Computed, not measured: a relaxed Er4GaHg2 crystal at the PBE level of DFT.

Computed properties:
energy	-3.458	eV/atom
V	187.5	Å³/f.u.
formation enthalpy at 0 K	-0.33	eV per atom

abc: 5.094 5.094 8.846
angles: 73.27 73.27 60.00
Element x y z (fractional)
Hg (0.752, 0.752, 0.744)
Hg (0.248, 0.248, 0.256)
Ga (0.000, 0.000, 0.000)
Er (0.875, 0.875, 0.374)
Er (0.125, 0.125, 0.626)
Er (0.624, 0.624, 0.127)
Er (0.376, 0.376, 0.873)

***

(8)
Computed, not measured: a relaxed Er6GaHg5 crystal at the PBE level of DFT.

Computed properties:
energy	-3.150	eV/atom
V	296.7	Å³/f.u.
formation enthalpy at 0 K	-0.49	eV per atom

abc: 5.182 7.344 8.995
angles: 114.10 106.68 90.00
Element x y z (fractional)
Hg (0.670, 0.169, 0.338)
Hg (0.335, 0.335, 0.669)
Hg (0.000, 0.500, 0.000)
Hg (0.665, 0.665, 0.331)
Hg (0.330, 0.831, 0.662)
Ga (0.000, 0.000, 0.000)
Er (0.836, 0.590, 0.672)
Er (0.836, 0.082, 0.672)
Er (0.500, 0.758, 0.000)
Er (0.500, 0.242, 0.000)
Er (0.164, 0.918, 0.328)
Er (0.164, 0.410, 0.328)

***

(9)
Computed, not measured: a relaxed ErGaHg2 crystal at the PBE level of DFT.

Computed properties:
energy	-2.378	eV/atom
V	89.8	Å³/f.u.
formation enthalpy at 0 K	-0.33	eV per atom

abc: 4.635 4.401 4.401
angles: 90.00 90.00 90.00
Element x y z (fractional)
Hg (0.000, 0.000, 0.500)
Hg (0.000, 0.500, 0.000)
Ga (0.500, 0.500, 0.500)
Er (0.500, 0.000, 0.000)

***

(10)
Computed, not measured: a relaxed Er8GaHg2 crystal at the PBE level of DFT.

Computed properties:
energy	-3.913	eV/atom
V	302.1	Å³/f.u.
formation enthalpy at 0 K	-0.26	eV per atom

abc: 5.124 6.869 9.265
angles: 104.78 106.05 90.00
Element x y z (fractional)
Er (0.410, 0.548, 0.819)
Er (0.662, 0.968, 0.324)
Er (0.801, 0.690, 0.602)
Er (0.977, 0.230, 0.954)
Er (0.199, 0.310, 0.398)
Er (0.338, 0.032, 0.676)
Er (0.590, 0.452, 0.181)
Er (0.023, 0.770, 0.046)
Ga (0.500, 0.000, 0.000)
Hg (0.813, 0.275, 0.627)
Hg (0.187, 0.725, 0.373)

***

(11)
Computed, not measured: a relaxed Er2GaHg3 crystal at the PBE level of DFT.

Computed properties:
energy	-2.580	eV/atom
energy above the most stable polymorph in this dataset	0.000	eV per atom
V	138.4	Å³/f.u.
formation enthalpy at 0 K	-0.40	eV per atom

abc: 5.914 5.914 9.021
angles: 103.03 103.03 108.20
Element x y z (fractional)
Er (0.250, 0.750, 0.500)
Er (0.754, 0.754, 0.000)
Er (0.750, 0.250, 0.500)
Er (0.246, 0.246, 0.000)
Ga (0.668, 0.668, 0.335)
Ga (0.332, 0.332, 0.665)
Hg (0.344, 0.827, 0.171)
Hg (0.173, 0.656, 0.829)
Hg (0.656, 0.173, 0.829)
Hg (0.827, 0.344, 0.171)
Hg (0.170, 0.170, 0.341)
Hg (0.830, 0.830, 0.659)

***

(12)
Computed, not measured: a relaxed Er2GaHg4 crystal at the PBE level of DFT.

Computed properties:
energy	-2.210	eV/atom
V	166.3	Å³/f.u.
formation enthalpy at 0 K	-0.30	eV per atom

abc: 5.133 5.133 7.869
angles: 70.96 70.96 60.00
Element x y z (fractional)
Hg (0.863, 0.863, 0.411)
Hg (0.137, 0.137, 0.589)
Hg (0.576, 0.576, 0.273)
Hg (0.424, 0.424, 0.727)
Ga (0.000, 0.000, 0.000)
Er (0.719, 0.719, 0.844)
Er (0.281, 0.281, 0.156)

***

Record order is preserved below.
Total moment: 0.00, 0.00, 0.00, 0.00, 0.00, 0.00, 0.00, 0.00, 0.00, 0.00, 0.00, 0.00 μB/cell